2
Lattice="2.0200 -3.4583 -2.9975 -1.9945 -4.5819 -0.2322 -2.4286 -1.4649 -4.1208" Properties=species:S:1:pos:R:3 comment="RbRe (GGA-PBE, relaxed)" crystal_system=cubic spacegroup="No. 225" polymorph_energy_mev_per_atom=1375.8 m_tot_mub_per_cell=4.0 pbc="T T T"
Rb 0.0000 0.0000 0.0000
Re -1.2015 -4.7525 -3.6753

---

5
Lattice="-3.2042 -2.7713 3.8884 -2.3959 -2.7635 -1.8052 -0.7250 -4.9778 8.5853" Properties=species:S:1:pos:R:3 comment="HoP2Pd2 (GGA-PBE, relaxed)" crystal_system=tetragonal spacegroup="No. 139" m_tot_mub_per_cell=0.0 pbc="T T T"
Pd -1.7414 -5.1146 5.5361
Pd -4.5833 -5.3977 5.1320
P -0.2838 -1.9413 3.3479
P -3.6454 -5.8077 9.1258
Ho 0.0000 0.0000 0.0000

---

9
Lattice="-4.0897 3.0759 -2.6312 -3.9789 -3.7419 1.8101 -0.7435 3.1059 4.7865" Properties=species:S:1:pos:R:3 comment="LiNdCu3S4 (GGA-PBE, relaxed)" crystal_system=cubic spacegroup="No. 215" m_tot_mub_per_cell=0.0 pbc="T T T"
Cu -2.3612 -0.3180 3.2983
Cu -2.4166 3.0909 1.0776
Cu -4.0343 -0.3330 -0.4106
S -4.5705 0.2553 4.3807
S -6.3096 0.2397 0.5254
S -2.1161 0.5859 0.9522
S -4.6281 3.7988 2.0724
Nd -4.4061 1.2199 1.9827
Li 0.0000 0.0000 0.0000

---

3
Lattice="0.0000 3.1938 3.1938 3.1938 0.0000 3.1938 3.1938 3.1938 0.0000" Properties=species:S:1:pos:R:3 comment="GdOsW (GGA-PBE, relaxed)" crystal_system=cubic spacegroup="No. 216" m_tot_mub_per_cell=1.3 formation_energy_mev_per_atom=1909 pbc="T T T"
Os 1.5969 1.5969 1.5969
W 4.7907 4.7907 4.7907
Gd 0.0000 0.0000 0.0000

---

4
Lattice="-2.7377 2.6751 2.5271 -0.8156 4.3231 -1.2974 -4.1435 1.1789 -1.5744" Properties=species:S:1:pos:R:3 comment="ZrInCu2 (GGA-PBE, relaxed)" crystal_system=cubic spacegroup="No. 216" m_tot_mub_per_cell=0.0 pbc="T T T"
Zr -1.9242 2.0443 -0.0862
In -3.8485 4.0885 -0.1723
Cu -5.7727 6.1328 -0.2585
Cu 0.0000 0.0000 0.0000

---

32
Lattice="6.9447 0.0000 0.0000 0.0000 7.5305 0.0000 0.0000 0.0000 12.2030" Properties=species:S:1:pos:R:3 comment="BeHgTeO (GGA-PBE, relaxed)" crystal_system=orthorhombic spacegroup="No. 61" polymorph_energy_mev_per_atom=578.8 pbc="T T T"
Hg 5.7324 0.6643 8.7145
Hg 2.2601 0.6643 9.5900
Hg 4.6845 6.8662 2.6130
Hg 1.2122 6.8662 3.4885
Hg 5.7324 3.1009 2.6130
Hg 2.2601 3.1009 3.4885
Hg 4.6845 4.4296 8.7145
Hg 1.2122 4.4296 9.5900
O 6.1641 5.4218 3.6113
O 4.2529 1.6565 3.6113
O 2.6918 5.4218 2.4902
O 0.7806 1.6565 2.4902
O 6.1641 5.8740 9.7128
O 0.7806 2.1087 8.5917
O 4.2529 2.1087 9.7128
O 2.6918 5.8740 8.5917
Be 2.8376 5.0975 1.0156
Be 4.1071 1.3323 5.0859
Be 0.6348 2.4330 7.1171
Be 4.1071 2.4330 11.1874
Be 6.3099 6.1982 11.1874
Be 6.3099 5.0975 5.0859
Be 2.8376 6.1982 7.1171
Be 0.6348 1.3323 1.0156
Te 1.8111 3.1237 11.9574
Te 5.1336 6.8890 6.3471
Te 5.1336 4.4068 0.2456
Te 5.2834 0.6415 0.2456
Te 5.2834 3.1237 6.3471
Te 1.6613 4.4068 5.8559
Te 1.8111 0.6415 5.8559
Te 1.6613 6.8890 11.9574

---

no.,VASP energy (eV/atom)
1,-3.48
2,-6.07
3,-4.39
4,-7.70
5,-4.69
6,-3.54